No. 1
Tb2Ni2Au: optimized geometry, PBE.

Unit cell a=3.640 b=3.893 c=7.147 alpha=105.81 beta=90.00 gamma=90.00
Atoms (fractional coordinates):
1 Tb 0.500 0.631 0.262
2 Tb 0.500 0.369 0.738
3 Ni 0.000 0.198 0.397
4 Ni 0.000 0.802 0.603
5 Au 0.000 0.000 0.000

* relative energy among the computed polymorphs: 0.00 eV/f.u.
* ΔH_f (0 K): -0.61 eV per atom
* E: -27.15 eV for the cell shown
* density: 10.773 g/cm3
* M_tot: 0.00 μB/atom

---

No. 2
LaHfCrPb2: optimized geometry, PBE.

Unit cell a=5.566 b=4.916 c=5.566 alpha=90.00 beta=90.00 gamma=90.00
Atoms (fractional coordinates):
1 Pb 0.000 0.000 0.500
2 Pb 0.500 0.000 0.000
3 Cr 0.000 0.500 0.000
4 Hf 0.000 0.000 0.000
5 La 0.500 0.500 0.500

* ΔH_f (0 K): 0.45 eV per atom
* E: -29.69 eV for the cell shown
* density: 8.546 g/cm3
* M_tot: 0.71 μB/atom

---

No. 3
Ac2CeGa: optimized geometry, PBE.

Unit cell a=3.907 b=3.907 c=8.988 alpha=90.00 beta=90.00 gamma=90.00
Atoms (fractional coordinates):
1 Ac 0.000 0.000 0.789
2 Ac 0.000 0.000 0.211
3 Ga 0.500 0.500 0.000
4 Ce 0.500 0.500 0.500

* relative energy among the computed polymorphs: 0.00 eV/f.u.
* ΔH_f (0 K): -0.10 eV per atom
* E: -17.59 eV for the cell shown
* density: 8.035 g/cm3
* M_tot: 0.35 μB/atom

---

Look up the E of the second one. -29.69 eV for the cell shown

---

The highest density belongs to which entry? Tb2Ni2Au

---

Look up the density of the first one. 10.773 g/cm3

---

Which of these has the lowest ΔH_f (0 K)? Tb2Ni2Au